No. 1
LaZrSc2, relaxed, DFT GGA-PBEsol; M_tot = 0.000 μB/atom; energy relative to the elements = 0.0917 eV/atom; relative energy among the computed polymorphs = 37 meV per atom
1.0
-2.367 2.367 4.468
2.367 -2.367 4.468
2.367 2.367 -4.468
La Zr Sc
1 1 2
Direct
0.000 0.000 0.000
0.500 0.500 0.000
0.250 0.750 0.500
0.750 0.250 0.500

=====

No. 2
FePCl, relaxed, DFT GGA-PBEsol; M_tot = 0.000 μB/atom; relative energy among the computed polymorphs = 0 meV per atom
1.0
-1.715 1.734 9.449
1.715 -1.734 9.449
1.715 1.734 -9.449
Fe P Cl
2 2 2
Direct
0.178 0.178 0.000
0.822 0.822 0.000
0.251 0.751 0.500
0.749 0.249 0.500
0.097 0.597 0.500
0.903 0.403 0.500

=====

No. 3
Na2CaGe2, relaxed, DFT GGA-PBEsol; M_tot = 0.000 μB/atom; energy relative to the elements = -0.2624 eV/atom
1.0
-2.157 2.157 6.534
2.157 -2.157 6.534
2.157 2.157 -6.534
Na Ca Ge
2 1 2
Direct
0.250 0.750 0.500
0.750 0.250 0.500
0.000 0.000 0.000
0.410 0.410 0.000
0.590 0.590 0.000

=====

No. 4
BaSrLa4Be2O10, relaxed, DFT GGA-PBEsol; M_tot = 0.000 μB/atom; final energy = -7.906 eV/atom
1.0
6.666 0.000 0.000
0.000 7.422 0.000
-0.116 0.000 9.728
Ba Sr La Be O
2 2 8 4 20
Direct
0.082 0.000 0.324
0.918 0.500 0.676
0.416 0.005 0.826
0.584 0.505 0.174
0.077 0.545 0.324
0.095 0.269 0.023
0.407 0.269 0.523
0.431 0.560 0.833
0.569 0.060 0.167
0.593 0.769 0.477
0.905 0.769 0.977
0.923 0.045 0.676
0.196 0.774 0.604
0.315 0.770 0.098
0.685 0.270 0.902
0.804 0.274 0.396
0.019 0.274 0.485
0.141 0.783 0.773
0.152 0.245 0.782
0.194 0.584 0.058
0.205 0.962 0.064
0.312 0.961 0.567
0.318 0.584 0.576
0.338 0.278 0.272
0.373 0.762 0.268
0.476 0.274 0.990
0.524 0.774 0.010
0.627 0.262 0.732
0.662 0.778 0.728
0.682 0.084 0.424
0.688 0.461 0.433
0.795 0.462 0.936
0.806 0.084 0.942
0.848 0.745 0.218
0.859 0.283 0.227
0.981 0.774 0.515

=====

No. 5
InSbRu2, relaxed, DFT GGA-PBEsol; M_tot = 0.000 μB/atom; final energy = -6.875 eV/atom
1.0
4.857 -1.560 0.000
4.857 1.560 0.000
-1.279 0.000 4.389
In Sb Ru
1 1 2
Direct
0.000 0.000 0.000
0.236 0.236 0.603
0.498 0.498 0.501
0.743 0.743 0.103

=====

No. 6
NaHgCl3, relaxed, DFT GGA-PBEsol; M_tot = 0.000 μB/atom; final energy = -2.626 eV/atom
1.0
7.685 0.000 0.000
0.000 4.063 0.000
0.000 0.000 16.363
Na Hg Cl
4 4 12
Direct
0.157 0.250 0.130
0.343 0.750 0.630
0.657 0.250 0.370
0.843 0.750 0.870
0.159 0.250 0.406
0.341 0.750 0.906
0.659 0.250 0.094
0.841 0.750 0.594
0.002 0.750 0.719
0.110 0.250 0.902
0.152 0.250 0.556
0.348 0.750 0.056
0.390 0.750 0.402
0.498 0.250 0.219
0.502 0.750 0.781
0.610 0.250 0.598
0.652 0.250 0.944
0.848 0.750 0.444
0.890 0.750 0.098
0.998 0.250 0.281

=====

No. 7
InCuSb2Te, relaxed, DFT GGA-PBEsol; M_tot = 0.000 μB/atom; final energy = -3.647 eV/atom
1.0
5.014 0.000 0.000
0.000 5.014 0.000
0.000 0.000 5.313
In Cu Sb Te
1 1 2 1
Direct
0.000 0.000 0.000
0.500 0.500 0.500
0.000 0.500 0.500
0.500 0.000 0.500
0.500 0.500 0.000

=====

No. 8
TlPPt, relaxed, DFT GGA-PBEsol; M_tot = 0.000 μB/atom; energy relative to the elements = -0.1418 eV/atom
1.0
3.527 0.000 0.000
-1.763 3.054 0.000
0.000 0.000 5.605
Tl P Pt
1 1 1
Direct
0.000 0.000 0.000
0.333 0.667 0.583
0.667 0.333 0.390